1.
# SmPa2S6 (PBE, optimized geometry)
data_SmPa2S6
_cell_length_a 13.582
_cell_length_b 5.160
_cell_length_c 8.915
_cell_angle_alpha 90.00
_cell_angle_beta 125.85
_cell_angle_gamma 90.00
_space_group_name_H-M_alt 'C 1 2/m 1'
_space_group_IT_number 12
loop_
_space_group_symop_operation_xyz
'x,y,z'
'-x,-y,-z'
'-x,y,-z'
'x,-y,z'
'x+1/2,y+1/2,z'
'-x+1/2,-y+1/2,-z'
'-x+1/2,y+1/2,-z'
'x+1/2,-y+1/2,z'
loop_
_atom_site_label
_atom_site_type_symbol
_atom_site_fract_x
_atom_site_fract_y
_atom_site_fract_z
Sm1 Sm 0.000 0.000 0.000
Pa1 Pa 0.184 0.000 0.611
S1 S 0.034 0.000 0.714
S2 S 0.131 0.500 0.056
S3 S 0.243 0.500 0.625
# **DOS(E_F)**: 0.455 states/eV per atom
# **Relative energy among the computed polymorphs**: 31 meV/atom
# **Formation energy from raw total energies**: -1.61 eV per atom



2.
# Li2Nd2PaSe6 (PBE, optimized geometry)
data_Li2Nd2PaSe6
_cell_length_a 7.315
_cell_length_b 12.577
_cell_length_c 6.899
_cell_angle_alpha 90.00
_cell_angle_beta 109.71
_cell_angle_gamma 90.00
_space_group_name_H-M_alt 'C 1 2/m 1'
_space_group_IT_number 12
loop_
_space_group_symop_operation_xyz
'x,y,z'
'-x,-y,-z'
'-x,y,-z'
'x,-y,z'
'x+1/2,y+1/2,z'
'-x+1/2,-y+1/2,-z'
'-x+1/2,y+1/2,-z'
'x+1/2,-y+1/2,z'
loop_
_atom_site_label
_atom_site_type_symbol
_atom_site_fract_x
_atom_site_fract_y
_atom_site_fract_z
Li1 Li 0.000 0.162 0.000
Nd1 Nd 0.000 0.335 0.500
Pa1 Pa 0.000 0.000 0.500
Se1 Se 0.235 0.000 0.247
Se2 Se 0.239 0.163 0.752
# **DOS(E_F)**: 0.260 states/eV per atom
# **Formation energy from raw total energies**: -1.56 eV per atom



3.
# CePm2N (PBE, optimized geometry)
data_CePm2N
_cell_length_a 3.201
_cell_length_b 3.201
_cell_length_c 8.798
_cell_angle_alpha 90.00
_cell_angle_beta 90.00
_cell_angle_gamma 90.00
_space_group_name_H-M_alt 'P 4/m m m'
_space_group_IT_number 123
_space_group_name_Hall '-P 4 2'
loop_
_atom_site_label
_atom_site_type_symbol
_atom_site_fract_x
_atom_site_fract_y
_atom_site_fract_z
Ce1 Ce 0.000 0.000 0.000
Pm1 Pm 0.500 0.500 0.334
N1 N 0.000 0.000 0.500
# **DOS(E_F)**: 1.575 states/eV per atom
# **Relative energy among the computed polymorphs**: 420 meV/atom
# **Formation energy from raw total energies**: -0.13 eV per atom



4.
# Ce3Dy2Pb4 (PBE, optimized geometry)
data_Ce3Dy2Pb4
_cell_length_a 16.400
_cell_length_b 5.153
_cell_length_c 6.895
_cell_angle_alpha 90.00
_cell_angle_beta 105.04
_cell_angle_gamma 90.00
_space_group_name_H-M_alt 'C 1 2/m 1'
_space_group_IT_number 12
loop_
_space_group_symop_operation_xyz
'x,y,z'
'-x,-y,-z'
'-x,y,-z'
'x,-y,z'
'x+1/2,y+1/2,z'
'-x+1/2,-y+1/2,-z'
'-x+1/2,y+1/2,-z'
'x+1/2,-y+1/2,z'
loop_
_atom_site_label
_atom_site_type_symbol
_atom_site_fract_x
_atom_site_fract_y
_atom_site_fract_z
Ce1 Ce 0.000 0.000 0.000
Ce2 Ce 0.116 0.000 0.580
Dy1 Dy 0.166 0.500 0.077
Pb1 Pb 0.006 0.500 0.284
Pb2 Pb 0.245 0.000 0.285
# **DOS(E_F)**: 2.353 states/eV per atom
# **Formation energy**: -0.361 eV per atom



5.
# MgTl2BiO6 (PBE, optimized geometry)
data_MgTl2BiO6
_cell_length_a 5.7211
_cell_length_b 5.7211
_cell_length_c 14.9483
_cell_angle_alpha 90.00
_cell_angle_beta 90.00
_cell_angle_gamma 120.00
_space_group_name_H-M_alt 'R 3'
_space_group_IT_number 146
_space_group_name_Hall 'R 3'
loop_
_atom_site_label
_atom_site_type_symbol
_atom_site_fract_x
_atom_site_fract_y
_atom_site_fract_z
Mg1 Mg 0.0000 0.0000 0.0000
Tl1 Tl 0.0000 0.0000 0.2823
Tl2 Tl 0.0000 0.0000 0.7794
Bi1 Bi 0.0000 0.0000 0.5010
O1 O 0.0476 0.6938 0.0654
O2 O 0.0551 0.3736 0.5683
# **DOS(E_F)**: 0.358 states/eV per atom
# **Formation energy from raw total energies**: -1.13 eV per atom



6.
# KP3 (PBE, optimized geometry)
data_KP3
_cell_length_a 5.899
_cell_length_b 9.987
_cell_length_c 2.582
_cell_angle_alpha 90.00
_cell_angle_beta 90.00
_cell_angle_gamma 90.00
_space_group_name_H-M_alt 'C m m m'
_space_group_IT_number 65
_space_group_name_Hall '-C 2 2'
loop_
_atom_site_label
_atom_site_type_symbol
_atom_site_fract_x
_atom_site_fract_y
_atom_site_fract_z
K1 K 0.000 0.000 0.000
P1 P 0.000 0.500 0.000
P2 P 0.250 0.250 0.500
# **DOS(E_F)**: 0.465 states/eV per atom
# **Formation energy**: 0.645 eV per atom
# **Relative energy among the computed polymorphs**: 746 meV/atom